VASP calculation (PBE with a Hubbard U) on a relaxed SrEuYFeO6 crystal.

Output
Space group = F-43m
V = 136.23 Å³/cell
Uncorrected energy = -0.5681 Ry per atom

Unit cell a=5.776 b=5.776 c=5.776 alpha=60.00 beta=60.00 gamma=60.00
Atoms (fractional coordinates):
1 Sr 0.000 0.000 0.000
2 Eu 0.500 0.500 0.500
3 Y 0.250 0.250 0.250
4 Fe 0.750 0.750 0.750
5 O 0.516 0.516 0.984
6 O 0.516 0.984 0.516
7 O 0.516 0.984 0.984
8 O 0.984 0.516 0.516
9 O 0.984 0.516 0.984
10 O 0.984 0.984 0.516